Below is a relaxed structure of Rb3YPa2O9, with properties calculated at the PBE-GGA level.

V = 260.6 Å³ per cell
magnetization = 0.14 μB/atom

Cell lengths 6.272, 6.272, 7.648 Å; angles 90.00, 90.00, 120.00 degrees
Last column: magnetic moment on the atom in μB.
Element x y z (fractional)
Rb 0.333 0.667 0.664  0.00
Rb 0.000 0.000 0.000  0.00
Rb 0.667 0.333 0.336  0.00
Y 0.000 0.000 0.500  0.00
Pa 0.333 0.667 0.170  0.05
Pa 0.667 0.333 0.830  0.05
O 0.828 0.172 0.672  0.21
O 0.828 0.655 0.672  0.21
O 0.345 0.172 0.672  0.21
O 0.655 0.828 0.328  0.21
O 0.172 0.345 0.328  0.21
O 0.172 0.828 0.328  0.21
O 0.500 0.000 0.000  0.15
O 0.000 0.500 0.000  0.15
O 0.500 0.500 0.000  0.15



Below is a relaxed structure of Rb4YPa3O12, with properties calculated at the PBE-GGA level.

V = 346.3 Å³ per cell
magnetization = 0.05 μB/atom

Cell lengths 7.662, 7.662, 7.662 Å; angles 109.47, 109.47, 109.47 degrees
Last column: magnetic moment on the atom in μB.
Element x y z (fractional)
Rb 0.500 0.500 0.500  0.00
Rb 0.000 0.000 0.500  0.00
Rb 0.500 0.000 0.000  0.00
Rb 0.000 0.500 0.000  0.00
Y 0.000 0.000 0.000  0.01
Pa 0.500 0.000 0.500  0.02
Pa 0.500 0.500 0.000  0.02
Pa 0.000 0.500 0.500  0.02
O 0.250 0.500 0.750  0.07
O 0.738 0.000 0.738  0.07
O 0.262 0.000 0.262  0.07
O 0.750 0.500 0.250  0.07
O 0.738 0.738 0.000  0.07
O 0.262 0.262 0.000  0.07
O 0.750 0.250 0.500  0.07
O 0.250 0.750 0.500  0.07
O 0.500 0.250 0.750  0.07
O 0.000 0.738 0.738  0.07
O 0.500 0.750 0.250  0.07
O 0.000 0.262 0.262  0.07



Below is a relaxed structure of Rb4Pa3ZnO12, with properties calculated at the PBE-GGA level.

V = 332.8 Å³ per cell
magnetization = 0.05 μB/atom

Cell lengths 7.561, 7.561, 7.561 Å; angles 109.47, 109.47, 109.47 degrees
Last column: magnetic moment on the atom in μB.
Element x y z (fractional)
Rb 0.500 0.500 0.500  0.00
Rb 0.000 0.000 0.500  0.00
Rb 0.500 0.000 0.000  0.00
Rb 0.000 0.500 0.000  0.00
Pa 0.500 0.000 0.500  0.04
Pa 0.500 0.500 0.000  0.04
Pa 0.000 0.500 0.500  0.04
Zn 0.000 0.000 0.000  0.01
O 0.250 0.500 0.750  0.06
O 0.740 0.000 0.740  0.08
O 0.260 0.000 0.260  0.08
O 0.750 0.500 0.250  0.06
O 0.740 0.740 0.000  0.08
O 0.260 0.260 0.000  0.08
O 0.750 0.250 0.500  0.06
O 0.250 0.750 0.500  0.06
O 0.500 0.250 0.750  0.06
O 0.000 0.740 0.740  0.08
O 0.500 0.750 0.250  0.06
O 0.000 0.260 0.260  0.08



Below is a relaxed structure of Rb3PaZn2O8, with properties calculated at the PBE-GGA level.

V = 264.4 Å³ per cell
magnetization = 0.29 μB/atom

Cell lengths 6.119, 6.119, 8.152 Å; angles 90.00, 90.00, 120.00 degrees
Last column: magnetic moment on the atom in μB.
Element x y z (fractional)
Rb 0.333 0.667 0.686  0.00
Rb 0.667 0.333 0.314  0.00
Rb 0.000 0.000 0.000  0.00
Pa 0.000 0.000 0.500  0.13
Zn 0.333 0.667 0.258  0.12
Zn 0.667 0.333 0.742  0.12
O 0.333 0.667 0.027  0.77
O 0.667 0.333 0.973  0.77
O 0.163 0.837 0.345  0.26
O 0.837 0.163 0.655  0.26
O 0.163 0.325 0.345  0.26
O 0.837 0.675 0.655  0.26
O 0.675 0.837 0.345  0.26
O 0.325 0.163 0.655  0.26



Number 1: formation energy from raw total energies -40.95 eV per formula unit, DOS(E_F) 12.5 states/eV/f.u.. Number 2: formation energy from raw total energies -56.61 eV per formula unit, DOS(E_F) 20.5 states/eV/f.u.. Number 3: formation energy from raw total energies -48.72 eV per formula unit, DOS(E_F) 19.0 states/eV/f.u.. Number 4: formation energy from raw total energies -22.27 eV per formula unit, DOS(E_F) 11.6 states/eV/f.u..